Entry 1:
TeMo2CS | GGA-PBE | relaxed

**E_tot**: -7.8571 eV/atom
**Size of the total moment**: 0.00 Bohr magnetons per cell

a = 3.3092 Å, b = 3.3092 Å, c = 9.6260 Å
α = 90.00°, β = 90.00°, γ = 120.00°
With the nearest neighbours (Å) after each atom.
Fractional coordinates of all 5 atoms:
Te 0.0000 0.0000 0.0000  3 Mo 2.92
Mo 0.0000 0.0000 0.5549  3 C 2.26, 3 S 2.46
Mo 0.3333 0.6667 0.7701  3 C 2.10
C 0.6667 0.3333 0.6797  6 Mo 2.10-2.26
S 0.3333 0.6667 0.3937  3 Mo 2.46

---

Entry 2:
Hf4Sc2Sn3N3 | GGA-PBE | relaxed

**E_tot**: -8.5956 eV/atom
**Size of the total moment**: 0.01 Bohr magnetons per cell

a = 5.6761 Å, b = 5.6761 Å, c = 14.8035 Å
α = 101.08°, β = 101.08°, γ = 60.02°
With the nearest neighbours (Å) after each atom.
Fractional coordinates of all 24 atoms:
Hf 0.0242 0.1984 0.0839  3 N 2.24-2.25
Hf 0.1419 0.3057 0.4160  3 N 2.24-2.25
Hf 0.1984 0.0242 0.5839  3 N 2.24-2.25
Hf 0.3057 0.1419 0.9160  3 N 2.24-2.25
Hf 0.6943 0.8581 0.0840  3 N 2.24-2.25
Hf 0.8016 0.9758 0.4161  3 N 2.24-2.25
Hf 0.8581 0.6943 0.5840  3 N 2.24-2.25
Hf 0.9758 0.8016 0.9161  3 N 2.24-2.25
Sc 0.3653 0.5290 0.0859  3 N 2.27-2.28
Sc 0.4710 0.6347 0.4141  3 N 2.27-2.28
Sc 0.5290 0.3653 0.5859  3 N 2.27-2.28
Sc 0.6347 0.4710 0.9141  3 N 2.27-2.28
Sn 0.0812 0.9188 0.2500  2 Sc 3.04, 4 Hf 3.06, 6 Sn 3.27-3.29
Sn 0.2501 0.4154 0.7493  2 Sc 3.03, 4 Hf 3.05, 6 Sn 3.27-3.29
Sn 0.4154 0.2501 0.2493  2 Sc 3.03, 4 Hf 3.05, 6 Sn 3.27-3.29
Sn 0.5846 0.7499 0.7507  2 Sc 3.03, 4 Hf 3.05, 6 Sn 3.27-3.29
Sn 0.7499 0.5846 0.2507  2 Sc 3.03, 4 Hf 3.05, 6 Sn 3.27-3.29
Sn 0.9188 0.0812 0.7500  2 Sc 3.04, 4 Hf 3.06, 6 Sn 3.27-3.29
N 0.0000 0.5000 0.0000  4 Hf 2.24, 2 Sc 2.28
N 0.1622 0.6688 0.5000  4 Hf 2.24-2.25, 2 Sc 2.27
N 0.3312 0.8378 0.0000  4 Hf 2.24-2.25, 2 Sc 2.27
N 0.5000 0.0000 0.5000  4 Hf 2.24, 2 Sc 2.28
N 0.6688 0.1622 0.0000  4 Hf 2.24-2.25, 2 Sc 2.27
N 0.8378 0.3312 0.5000  4 Hf 2.24-2.25, 2 Sc 2.27

---

Entry 3:
Er2Ga2IrPd3 | GGA-PBE | relaxed

**E_tot**: -5.8032 eV/atom
**Size of the total moment**: 0.01 Bohr magnetons per cell

a = 4.3635 Å, b = 4.3635 Å, c = 9.0168 Å
α = 90.00°, β = 90.00°, γ = 120.00°
With the nearest neighbours (Å) after each atom.
Fractional coordinates of all 8 atoms:
Er 0.0000 0.0000 0.0000  3 Ir 2.92, 5 Pd 2.97-3.05, 3 Ga 3.22
Er 0.3333 0.6667 0.4899  7 Pd 2.89-3.02, 1 Ir 2.93
Ga 0.6667 0.3333 0.2227  3 Ir 2.57, 3 Pd 2.71
Ga 0.6667 0.3333 0.7408  6 Pd 2.62-2.63
Ir 0.3333 0.6667 0.1646  3 Ga 2.57
Pd 0.0000 0.0000 0.3326  3 Ga 2.71, 4 Er 2.89-3.00, 3 Ir 2.94, 1 Pd 2.97
Pd 0.0000 0.0000 0.6620  3 Ga 2.62, 3 Pd 2.92
Pd 0.3333 0.6667 0.8252  3 Ga 2.63, 3 Pd 2.92

---

Entry 4:
CsZnMo | GGA-PBE | relaxed

**E_tot**: -2.7117 eV/atom
**Size of the total moment**: 1.24 Bohr magnetons per cell

a = 8.9781 Å, b = 8.9781 Å, c = 3.0861 Å
α = 90.00°, β = 90.00°, γ = 120.00°
With the nearest neighbours (Å) after each atom.
Fractional coordinates of all 9 atoms:
Cs 0.0000 0.6662 0.0000  2 Cs 3.09, 6 Mo 3.36-3.37, 6 Zn 3.37
Cs 0.3338 0.3338 0.0000  2 Cs 3.09, 6 Mo 3.36-3.37, 6 Zn 3.37
Cs 0.6662 0.0000 0.0000  2 Cs 3.09, 6 Mo 3.36-3.37, 6 Zn 3.37
Zn 0.0000 0.0000 0.5000  3 Mo 2.99, 2 Zn 3.09
Zn 0.3333 0.6667 0.5000  3 Mo 2.99, 2 Zn 3.09
Zn 0.6667 0.3333 0.5000  3 Mo 2.99, 2 Zn 3.09
Mo 0.0000 0.3332 0.5000  3 Zn 2.99, 2 Mo 3.09
Mo 0.3332 0.0000 0.5000  3 Zn 2.99, 2 Mo 3.09
Mo 0.6668 0.6668 0.5000  3 Zn 2.99, 2 Mo 3.09

---

Entry 5:
PrSmZr2As2 | GGA-PBE | relaxed

**E_tot**: -6.9688 eV/atom
**Size of the total moment**: 0.48 Bohr magnetons per cell

a = 8.6896 Å, b = 8.6896 Å, c = 8.6896 Å
α = 152.21°, β = 152.21°, γ = 39.70°
With the nearest neighbours (Å) after each atom.
Fractional coordinates of all 6 atoms:
Pr 0.0000 0.0000 0.0000  5 As 3.07-3.19
Sm 0.3541 0.3541 0.0000  5 As 3.06-3.24
Zr 0.1787 0.6787 0.5000  4 As 2.94, 4 Zr 2.95
Zr 0.6787 0.1787 0.5000  4 As 2.94, 4 Zr 2.95
As 0.5522 0.5522 0.0000  4 Zr 2.94, 4 Pr 3.07, 1 Sm 3.24
As 0.8051 0.8051 0.0000  4 Zr 2.94, 4 Sm 3.06, 1 Pr 3.19

---

Entry 6:
NdAl2Co | GGA-PBE | relaxed

**E_tot**: -5.2682 eV/atom
**Size of the total moment**: 0.01 Bohr magnetons per cell

a = 9.3025 Å, b = 9.3025 Å, c = 4.0913 Å
α = 90.00°, β = 90.00°, γ = 153.82°
With the nearest neighbours (Å) after each atom.
Fractional coordinates of all 8 atoms:
Nd 0.1418 0.8582 0.0000  10 Al 3.16-3.43, 4 Co 3.20
Nd 0.8582 0.1418 0.0000  10 Al 3.16-3.43, 4 Co 3.20
Al 0.0000 0.0000 0.5000  4 Co 2.47
Al 0.2937 0.7063 0.5000  1 Co 2.44, 2 Al 2.64
Al 0.5000 0.5000 0.0000  4 Co 2.42
Al 0.7063 0.2937 0.5000  1 Co 2.44, 2 Al 2.64
Co 0.4286 0.5714 0.5000  5 Al 2.42-2.47, 1 Co 2.59
Co 0.5714 0.4286 0.5000  5 Al 2.42-2.47, 1 Co 2.59

---

Entry 7:
LaNdMg4Ag2 | GGA-PBE | relaxed

**E_tot**: -2.2254 eV/atom
**Size of the total moment**: 0.04 Bohr magnetons per cell

a = 6.1466 Å, b = 8.9477 Å, c = 8.9477 Å
α = 36.24°, β = 90.00°, γ = 90.00°
With the nearest neighbours (Å) after each atom.
Fractional coordinates of all 8 atoms:
La 0.0000 0.0000 0.0000  3 Ag 3.08-3.30, 4 Mg 3.26
Nd 0.0000 0.2189 0.2189  3 Ag 3.01-3.26, 4 Mg 3.26
Mg 0.2653 0.6903 0.6903  1 Ag 2.73, 2 Mg 2.85-2.89
Mg 0.2691 0.5229 0.5229  1 Ag 2.72, 2 Mg 2.84-2.85
Mg 0.7309 0.5229 0.5229  1 Ag 2.72, 2 Mg 2.84-2.85
Mg 0.7347 0.6903 0.6903  1 Ag 2.73, 2 Mg 2.85-2.89
Ag 0.0000 0.3958 0.3958  2 Mg 2.72, 1 Nd 3.01
Ag 0.0000 0.8191 0.8191  2 Mg 2.73

---

Entry 8:
ScSnPd2 | GGA-PBE | relaxed

**E_tot**: -5.8179 eV/atom
**Size of the total moment**: 0.01 Bohr magnetons per cell

a = 4.6649 Å, b = 4.6649 Å, c = 4.6649 Å
α = 60.00°, β = 60.00°, γ = 60.00°
With the nearest neighbours (Å) after each atom.
Fractional coordinates of all 4 atoms:
Sc 0.0000 0.0000 0.0000  4 Sn 2.86, 4 Pd 2.86
Sn 0.7500 0.7500 0.7500  4 Sc 2.86, 4 Pd 2.86
Pd 0.2500 0.2500 0.2500  4 Pd 2.86, 4 Sc 2.86
Pd 0.5000 0.5000 0.5000  4 Sn 2.86, 4 Pd 2.86

---

Entry 9:
HfPaSn | GGA-PBE | relaxed

**Energy above the most stable polymorph in this dataset**: 0.000 eV/atom
**Size of the total moment**: 1.63 Bohr magnetons per cell

a = 4.9325 Å, b = 4.9325 Å, c = 4.9325 Å
α = 60.00°, β = 60.00°, γ = 60.00°
With the nearest neighbours (Å) after each atom.
Fractional coordinates of all 3 atoms:
Hf 0.0000 0.0000 0.0000  4 Sn 3.02
Pa 0.5000 0.5000 0.5000  4 Sn 3.02
Sn 0.2500 0.2500 0.2500  4 Pa 3.02, 4 Hf 3.02

---

Entry 10:
SmGdEr2Ga2 | GGA-PBE | relaxed

**E_tot**: -4.4835 eV/atom
**Size of the total moment**: 0.03 Bohr magnetons per cell

a = 5.1762 Å, b = 5.1762 Å, c = 6.5973 Å
α = 90.00°, β = 90.00°, γ = 120.00°
With the nearest neighbours (Å) after each atom.
Fractional coordinates of all 6 atoms:
Sm 0.0000 0.0000 0.0000  5 Ga 2.99-3.30
Gd 0.3333 0.6667 0.5000  5 Ga 2.99-3.30
Er 0.6667 0.3333 0.2512  2 Er 3.28-3.31, 6 Ga 3.41-3.42, 3 Gd 3.41, 3 Sm 3.42
Er 0.6667 0.3333 0.7488  2 Er 3.28-3.31, 6 Ga 3.41-3.42, 3 Gd 3.41, 3 Sm 3.42
Ga 0.0000 0.0000 0.5000  3 Gd 2.99, 2 Sm 3.30
Ga 0.3333 0.6667 0.0000  3 Sm 2.99, 2 Gd 3.30

---

Entry 11:
AgHg2Ir | GGA-PBE | relaxed

**Size of the total moment**: 0.01 Bohr magnetons per cell
**DFT formation energy**: 0.4911 eV per atom

a = 4.7146 Å, b = 4.7146 Å, c = 4.7146 Å
α = 60.00°, β = 60.00°, γ = 60.00°
With the nearest neighbours (Å) after each atom.
Fractional coordinates of all 4 atoms:
Ag 0.0000 0.0000 0.0000  4 Hg 2.89, 4 Ir 2.89
Hg 0.5000 0.5000 0.5000  4 Hg 2.89, 4 Ir 2.89
Hg 0.7500 0.7500 0.7500  4 Hg 2.89, 4 Ag 2.89
Ir 0.2500 0.2500 0.2500  4 Hg 2.89, 4 Ag 2.89

---

Entry 12:
Rb2Hg2S3 | GGA-PBE | relaxed

**Energy above the most stable polymorph in this dataset**: 0.261 eV/atom

a = 7.1695 Å, b = 7.1695 Å, c = 7.1695 Å
α = 69.98°, β = 69.98°, γ = 69.98°
With the nearest neighbours (Å) after each atom.
Fractional coordinates of all 7 atoms:
Rb 0.0000 0.0000 0.0000  2 Hg 3.39, 6 S 3.58
Rb 0.5000 0.5000 0.5000  6 S 4.11
Hg 0.2104 0.2104 0.2104  3 S 2.48
Hg 0.7896 0.7896 0.7896  3 S 2.48
S 0.0000 0.0000 0.5000  2 Hg 2.48
S 0.0000 0.5000 0.0000  2 Hg 2.48
S 0.5000 0.0000 0.0000  2 Hg 2.48